[1]
First-principles (PBE) data for a relaxed LaHg5Au crystal, as listed in Alexandria via LeMat-Bulk.

Cell: 5.018 5.018 7.317 Å, 90.00 90.00 90.00°
Element x y z (fractional)
Hg1 0.000 0.500 0.710
Hg2 0.000 0.500 0.290
Hg3 0.500 0.000 0.710
Hg4 0.500 0.500 0.000
Hg5 0.500 0.000 0.290
Au1 0.000 0.000 0.500
La1 0.000 0.000 0.000

Results
SG ... P4/mmm, No. 123
DFT total energy ... -1.678 eV per atom
Calculated formation energy ... -0.29 eV per atom
Total moment ... 0.00 μB per formula unit

=====

[2]
First-principles (PBE) data for a relaxed La2HgAu crystal, as listed in Alexandria via LeMat-Bulk.

Cell: 9.599 9.599 9.599 Å, 23.57 23.57 23.57°
Element x y z (fractional)
Hg1 0.762 0.762 0.762
La1 0.235 0.235 0.235
La2 0.009 0.009 0.009
Au1 0.495 0.495 0.495

Results
SG ... R3m, No. 160
DFT total energy ... -3.617 eV per atom
Calculated formation energy ... -0.26 eV per atom
Total moment ... 0.00 μB per formula unit

=====

[3]
First-principles (PBE) data for a relaxed La3Hg4Au4 crystal, as listed in Alexandria via LeMat-Bulk.

Cell: 3.712 4.773 15.815 Å, 81.33 83.18 89.91°
Element x y z (fractional)
La1 0.000 0.000 0.000
La2 0.857 0.357 0.284
La3 0.143 0.643 0.716
Au1 0.455 0.454 0.090
Au2 0.315 0.816 0.367
Au3 0.685 0.184 0.633
Au4 0.545 0.546 0.910
Hg1 0.593 0.094 0.815
Hg2 0.407 0.906 0.185
Hg3 0.737 0.737 0.525
Hg4 0.263 0.262 0.475

Results
SG ... P-1, No. 2
DFT total energy ... -3.200 eV per atom
Calculated formation energy ... -0.56 eV per atom
Total moment ... 0.00 μB per formula unit
ΔE to the lowest computed polymorph ... 0.0 meV per atom

=====

[4]
First-principles (PBE) data for a relaxed La2HgAu crystal, as listed in Alexandria via LeMat-Bulk.

Cell: 5.233 5.233 5.233 Å, 60.00 60.00 60.00°
Element x y z (fractional)
La1 0.000 0.000 0.000
La2 0.250 0.250 0.250
Hg1 0.750 0.750 0.750
Au1 0.500 0.500 0.500

Results
SG ... F-43m, No. 216
DFT total energy ... -3.724 eV per atom
Calculated formation energy ... -0.37 eV per atom
Total moment ... 0.00 μB per formula unit

=====

[5]
First-principles (PBE) data for a relaxed La2HgAu crystal, as listed in Alexandria via LeMat-Bulk.

Cell: 4.104 4.104 7.011 Å, 90.00 90.00 89.99°
Last column: magnetic moment on the atom in μB.
Element x y z (fractional)
Au1 0.000 0.000 0.482  0.00
La1 0.500 0.500 0.303  0.11
La2 0.000 0.000 0.959  0.12
Hg1 0.500 0.500 0.757  -0.01

Results
SG ... P4mm, No. 99
DFT total energy ... -3.824 eV per atom
Calculated formation energy ... -0.47 eV per atom
Total moment ... 0.54 μB per formula unit

=====

[6]
First-principles (PBE) data for a relaxed La2HgAu crystal, as listed in Alexandria via LeMat-Bulk.

Cell: 5.229 3.864 5.563 Å, 90.10 90.00 90.00°
Element x y z (fractional)
La1 0.500 0.124 0.346
La2 0.000 0.126 0.900
Hg1 0.500 0.626 0.825
Au1 0.000 0.624 0.429

Results
SG ... Pm, No. 6
DFT total energy ... -3.985 eV per atom
Calculated formation energy ... -0.63 eV per atom
Total moment ... 0.00 μB per formula unit

=====

[7]
First-principles (PBE) data for a relaxed La6Hg2Au crystal, as listed in Alexandria via LeMat-Bulk.

Cell: 6.562 8.383 10.755 Å, 90.00 89.62 90.00°
Element x y z (fractional)
Hg1 0.098 0.615 0.234
Hg2 0.902 0.385 0.766
Hg3 0.402 0.115 0.266
Hg4 0.598 0.885 0.734
La1 0.118 0.294 0.055
La2 0.359 0.542 0.735
La3 0.641 0.458 0.265
La4 0.640 0.151 0.954
La5 0.618 0.206 0.555
La6 0.859 0.958 0.235
La7 0.860 0.651 0.546
La8 0.360 0.849 0.046
La9 0.882 0.706 0.945
La10 0.140 0.349 0.454
La11 0.382 0.794 0.445
La12 0.141 0.042 0.765
Au1 0.000 0.000 0.500
Au2 0.500 0.500 0.000

Results
SG ... P2_1/c, No. 14
DFT total energy ... -4.044 eV per atom
Calculated formation energy ... -0.33 eV per atom
Total moment ... 0.00 μB per formula unit
ΔE to the lowest computed polymorph ... 75.6 meV per atom

=====

[8]
First-principles (PBE) data for a relaxed La4HgAu crystal, as listed in Alexandria via LeMat-Bulk.

Cell: 5.168 8.866 16.754 Å, 90.00 90.00 90.00°
Element x y z (fractional)
La1 0.750 0.908 0.649
La2 0.750 0.816 0.424
La3 0.250 0.079 0.790
La4 0.250 0.184 0.576
La5 0.250 0.013 0.075
La6 0.750 0.921 0.210
La7 0.750 0.421 0.290
La8 0.750 0.987 0.925
La9 0.750 0.408 0.851
La10 0.750 0.316 0.076
La11 0.250 0.513 0.425
La12 0.250 0.684 0.924
La13 0.250 0.092 0.351
La14 0.250 0.579 0.710
La15 0.250 0.592 0.149
La16 0.750 0.487 0.575
Au1 0.750 0.233 0.701
Au2 0.750 0.733 0.799
Au3 0.250 0.767 0.299
Au4 0.250 0.267 0.201
Hg1 0.750 0.208 0.449
Hg2 0.250 0.292 0.949
Hg3 0.250 0.792 0.551
Hg4 0.750 0.708 0.051

Results
SG ... Pnma, No. 62
DFT total energy ... -4.301 eV per atom
Calculated formation energy ... -0.42 eV per atom
Total moment ... 0.00 μB per formula unit
ΔE to the lowest computed polymorph ... 0.0 meV per atom

=====

[9]
First-principles (PBE) data for a relaxed LaHgAu crystal, as listed in Alexandria via LeMat-Bulk.

Cell: 3.989 3.989 5.636 Å, 110.73 110.73 90.00°
Element x y z (fractional)
Au1 0.284 0.284 0.568
La1 0.945 0.945 0.889
Hg1 0.621 0.621 0.242

Results
SG ... I4mm, No. 107
DFT total energy ... -3.448 eV per atom
Calculated formation energy ... -0.61 eV per atom
Total moment ... 0.00 μB per formula unit

=====

[10]
First-principles (PBE) data for a relaxed LaHgAu crystal, as listed in Alexandria via LeMat-Bulk.

Cell: 5.329 5.329 6.352 Å, 90.00 90.00 119.98°
Element x y z (fractional)
Au1 0.667 0.833 0.250
Au2 0.333 0.167 0.750
La1 0.333 0.167 0.250
La2 0.667 0.833 0.750
Hg1 0.000 0.500 0.500
Hg2 0.000 0.500 0.000

Results
SG ... P6_3/mmc, No. 194
DFT total energy ... -3.529 eV per atom
Calculated formation energy ... -0.69 eV per atom
Total moment ... 0.00 μB per formula unit

=====

[11]
First-principles (PBE) data for a relaxed La3Hg4Au4 crystal, as listed in Alexandria via LeMat-Bulk.

Cell: 4.298 8.238 9.149 Å, 116.76 103.59 90.00°
Element x y z (fractional)
Hg1 0.666 0.862 0.333
Hg2 0.334 0.529 0.667
Hg3 0.666 0.471 0.333
Hg4 0.334 0.138 0.667
Au1 0.500 0.820 0.000
Au2 0.772 0.272 0.545
Au3 0.500 0.180 0.000
Au4 0.228 0.728 0.455
La1 0.873 0.873 0.747
La2 0.127 0.127 0.253
La3 0.000 0.500 0.000

Results
SG ... Immm, No. 71
DFT total energy ... -3.196 eV per atom
Calculated formation energy ... -0.55 eV per atom
Total moment ... 0.00 μB per formula unit
ΔE to the lowest computed polymorph ... 4.6 meV per atom

=====

[12]
First-principles (PBE) data for a relaxed La2HgAu crystal, as listed in Alexandria via LeMat-Bulk.

Cell: 4.257 4.257 8.548 Å, 75.58 75.58 60.00°
Element x y z (fractional)
Hg1 0.500 0.500 0.499
La1 0.076 0.076 0.772
La2 0.258 0.258 0.227
Au1 0.666 0.666 0.002

Results
SG ... R3m, No. 160
DFT total energy ... -3.884 eV per atom
Calculated formation energy ... -0.53 eV per atom
Total moment ... 0.00 μB per formula unit

=====

[13]
First-principles (PBE) data for a relaxed La2HgAu4 crystal, as listed in Alexandria via LeMat-Bulk.

Cell: 5.209 5.209 8.012 Å, 71.03 71.03 60.00°
Element x y z (fractional)
Hg1 0.000 0.000 0.000
Au1 0.420 0.420 0.741
Au2 0.131 0.131 0.608
Au3 0.580 0.580 0.259
Au4 0.869 0.869 0.392
La1 0.734 0.734 0.797
La2 0.266 0.266 0.203

Results
SG ... R-3m, No. 166
DFT total energy ... -3.902 eV per atom
Calculated formation energy ... -0.58 eV per atom
Total moment ... 0.00 μB per formula unit
ΔE to the lowest computed polymorph ... 0.0 meV per atom

=====

[14]
First-principles (PBE) data for a relaxed LaHg4Au crystal, as listed in Alexandria via LeMat-Bulk.

Cell: 5.118 7.172 8.782 Å, 90.00 106.94 90.00°
Element x y z (fractional)
Hg1 0.807 0.416 0.614
Hg2 0.012 0.756 0.024
Hg3 0.988 0.256 0.976
Hg4 0.358 0.630 0.717
Hg5 0.530 0.482 0.061
Hg6 0.470 0.982 0.939
Hg7 0.642 0.130 0.283
Hg8 0.193 0.916 0.386
Au1 0.326 0.206 0.652
Au2 0.674 0.706 0.348
La1 0.826 0.943 0.652
La2 0.174 0.443 0.348

Results
SG ... Cmc2_1, No. 36
DFT total energy ... -1.902 eV per atom
Calculated formation energy ... -0.33 eV per atom
Total moment ... 0.00 μB per formula unit
ΔE to the lowest computed polymorph ... 0.0 meV per atom

=====

[15]
First-principles (PBE) data for a relaxed La6HgAu crystal, as listed in Alexandria via LeMat-Bulk.

Cell: 9.535 9.535 5.428 Å, 73.46 73.46 33.08°
Element x y z (fractional)
La1 0.108 0.108 0.392
La2 0.391 0.392 0.108
La3 0.609 0.608 0.892
La4 0.251 0.250 0.749
La5 0.892 0.892 0.608
La6 0.749 0.750 0.251
Au1 0.000 0.000 0.000
Hg1 0.500 0.500 0.500

Results
SG ... I4/mmm, No. 139
DFT total energy ... -4.451 eV per atom
Calculated formation energy ... -0.31 eV per atom
Total moment ... 0.00 μB per formula unit

=====

[16]
First-principles (PBE) data for a relaxed La3HgAu2 crystal, as listed in Alexandria via LeMat-Bulk.

Cell: 3.833 3.833 11.415 Å, 90.00 90.00 90.00°
Element x y z (fractional)
Au1 0.500 0.500 0.165
Au2 0.500 0.500 0.835
La1 0.000 0.000 0.676
La2 0.000 0.000 0.000
La3 0.000 0.000 0.324
Hg1 0.500 0.500 0.500

Results
SG ... P4/mmm, No. 123
DFT total energy ... -4.296 eV per atom
Calculated formation energy ... -0.69 eV per atom
Total moment ... 0.00 μB per formula unit

=====

[17]
First-principles (PBE) data for a relaxed La2Hg3Au crystal, as listed in Alexandria via LeMat-Bulk.

Cell: 3.577 5.033 8.694 Å, 90.00 90.00 90.00°
Element x y z (fractional)
La1 0.000 0.500 0.013
La2 0.000 0.000 0.489
Hg1 0.500 0.500 0.664
Hg2 0.500 0.000 0.168
Hg3 0.500 0.000 0.832
Au1 0.500 0.500 0.333

Results
SG ... Pmm2, No. 25
DFT total energy ... -2.916 eV per atom
Calculated formation energy ... -0.58 eV per atom
Total moment ... 0.00 μB per formula unit

=====

[18]
First-principles (PBE) data for a relaxed La2HgAu2 crystal, as listed in Alexandria via LeMat-Bulk.

Cell: 3.953 3.953 9.315 Å, 77.75 77.75 90.00°
Element x y z (fractional)
La1 0.391 0.391 0.219
La2 0.609 0.609 0.781
Hg1 0.000 0.000 0.000
Au1 0.250 0.750 0.500
Au2 0.750 0.250 0.500

Results
SG ... I4/mmm, No. 139
DFT total energy ... -3.838 eV per atom
Calculated formation energy ... -0.50 eV per atom
Total moment ... 0.00 μB per formula unit

=====

[19]
First-principles (PBE) data for a relaxed La2Hg5Au crystal, as listed in Alexandria via LeMat-Bulk.

Cell: 4.900 4.900 11.297 Å, 77.59 77.59 59.80°
Element x y z (fractional)
La1 0.908 0.908 0.277
La2 0.092 0.092 0.723
Hg1 0.367 0.367 0.896
Hg2 0.801 0.801 0.597
Hg3 0.500 0.500 0.500
Hg4 0.633 0.633 0.104
Hg5 0.199 0.199 0.403
Au1 0.000 0.000 0.000

Results
SG ... C2/m, No. 12
DFT total energy ... -2.163 eV per atom
Calculated formation energy ... -0.33 eV per atom
Total moment ... 0.00 μB per formula unit

=====

[20]
First-principles (PBE) data for a relaxed LaHg3Au crystal, as listed in Alexandria via LeMat-Bulk.

Cell: 5.274 5.274 5.274 Å, 90.00 90.00 90.00°
Element x y z (fractional)
Au1 0.000 0.000 0.000
Hg1 0.000 0.000 0.500
Hg2 0.000 0.500 0.000
Hg3 0.500 0.000 0.000
La1 0.500 0.500 0.500

Results
SG ... Pm-3m, No. 221
DFT total energy ... -1.840 eV per atom
Calculated formation energy ... -0.02 eV per atom
Total moment ... 0.00 μB per formula unit
ΔE to the lowest computed polymorph ... 379.7 meV per atom